No. 1
A plane-wave DFT calculation with GGA-PBE was carried out for an optimized crystal structure of BeCuIrW.

a = 4.2011 Å, b = 4.2011 Å, c = 4.2011 Å
α = 60.00°, β = 60.00°, γ = 60.00°
With the nearest neighbours (Å) after each atom.
Fractional coordinates of all 4 atoms:
Cu  0.0000  0.0000  0.0000  4 Ir 2.57, 4 Be 2.57
W  0.5000  0.5000  0.5000  4 Ir 2.57, 4 Be 2.57
Be  0.7500  0.7500  0.7500  4 W 2.57, 4 Cu 2.57
Ir  0.2500  0.2500  0.2500  4 W 2.57, 4 Cu 2.57

Symmetry: F-43m, No. 216
Uncorrected energy in eV per atom: -7.29
Size of the total moment in Bohr magnetons per cell: 0.00

=====

No. 2
A plane-wave DFT calculation with GGA-PBE was carried out for an optimized crystal structure of BeCuIrW.

a = 4.1395 Å, b = 4.1395 Å, c = 4.1395 Å
α = 60.00°, β = 60.00°, γ = 60.00°
With the nearest neighbours (Å) after each atom.
Fractional coordinates of all 4 atoms:
Cu  0.7500  0.7500  0.7500  4 W 2.53, 4 Ir 2.53
Be  0.2500  0.2500  0.2500  4 Ir 2.53, 4 W 2.53
Ir  0.0000  0.0000  0.0000  4 Be 2.53, 4 Cu 2.53
W  0.5000  0.5000  0.5000  4 Cu 2.53, 4 Be 2.53

Symmetry: F-43m, No. 216
Uncorrected energy in eV per atom: -7.16
Size of the total moment in Bohr magnetons per cell: 0.19

=====

No. 3
A plane-wave DFT calculation with GGA-PBE was carried out for an optimized crystal structure of BeCuIrW.

a = 4.2111 Å, b = 4.2111 Å, c = 4.2111 Å
α = 60.00°, β = 60.00°, γ = 60.00°
With the nearest neighbours (Å) after each atom.
Fractional coordinates of all 4 atoms:
Ir  0.0000  0.0000  0.0000  4 W 2.58, 4 Be 2.58
Be  0.7500  0.7500  0.7500  4 Cu 2.58, 4 Ir 2.58
W  0.2500  0.2500  0.2500  4 Cu 2.58, 4 Ir 2.58
Cu  0.5000  0.5000  0.5000  4 Be 2.58, 4 W 2.58

Symmetry: F-43m, No. 216
Uncorrected energy in eV per atom: -7.32
Size of the total moment in Bohr magnetons per cell: 0.00

=====

No. 4
A plane-wave DFT calculation with GGA-PBE was carried out for an optimized crystal structure of BeZnCuIr.

a = 4.0953 Å, b = 4.0953 Å, c = 4.0953 Å
α = 60.00°, β = 60.00°, γ = 60.00°
With the nearest neighbours (Å) after each atom.
Fractional coordinates of all 4 atoms:
Zn  0.0000  0.0000  0.0000  4 Cu 2.51, 4 Be 2.51
Be  0.2500  0.2500  0.2500  4 Ir 2.51, 4 Zn 2.51
Cu  0.7500  0.7500  0.7500  4 Ir 2.51, 4 Zn 2.51
Ir  0.5000  0.5000  0.5000  4 Cu 2.51, 4 Be 2.51

Symmetry: F-43m, No. 216
Uncorrected energy in eV per atom: -4.50
Size of the total moment in Bohr magnetons per cell: 0.00

=====

No. 5
A plane-wave DFT calculation with GGA-PBE was carried out for an optimized crystal structure of BeZnCuIr.

a = 4.1004 Å, b = 4.1004 Å, c = 4.1004 Å
α = 60.00°, β = 60.00°, γ = 60.00°
With the nearest neighbours (Å) after each atom.
Fractional coordinates of all 4 atoms:
Zn  0.0000  0.0000  0.0000  4 Ir 2.51, 4 Cu 2.51
Cu  0.7500  0.7500  0.7500  4 Be 2.51, 4 Zn 2.51
Be  0.5000  0.5000  0.5000  4 Cu 2.51, 4 Ir 2.51
Ir  0.2500  0.2500  0.2500  4 Zn 2.51, 4 Be 2.51

Symmetry: F-43m, No. 216
Uncorrected energy in eV per atom: -4.58
Size of the total moment in Bohr magnetons per cell: 0.00

=====

No. 6
A plane-wave DFT calculation with GGA-PBE was carried out for an optimized crystal structure of LaBeCu12.

a = 8.1049 Å, b = 8.1049 Å, c = 8.1049 Å
α = 120.00°, β = 90.00°, γ = 120.00°
With the nearest neighbours (Å) after each atom.
Fractional coordinates of all 28 atoms:
Cu  0.7923  0.3540  0.7923  1 Be 2.42, 9 Cu 2.48-2.64
Cu  0.2923  0.2305  0.2923  1 Be 2.42, 9 Cu 2.48-2.64
Cu  0.2077  0.0000  0.4383  1 Be 2.42, 9 Cu 2.48-2.64
Cu  0.0617  0.0000  0.7077  1 Be 2.42, 9 Cu 2.48-2.64
Cu  0.2923  0.3540  0.0617  1 Be 2.42, 9 Cu 2.48-2.64
Cu  0.0617  0.3540  0.2923  1 Be 2.42, 9 Cu 2.48-2.64
Cu  0.7923  0.0000  0.5617  1 Be 2.42, 9 Cu 2.48-2.64
Cu  0.0617  0.7695  0.0617  1 Be 2.42, 9 Cu 2.48-2.64
Cu  0.7923  0.2305  0.4383  1 Be 2.42, 9 Cu 2.48-2.64
Cu  0.7077  0.7695  0.7077  1 Be 2.42, 9 Cu 2.48-2.64
Cu  0.5617  0.0000  0.7923  1 Be 2.42, 9 Cu 2.48-2.64
Cu  0.2077  0.7695  0.5617  1 Be 2.42, 9 Cu 2.48-2.64
Cu  0.9383  0.0000  0.2923  1 Be 2.42, 9 Cu 2.48-2.64
Cu  0.7077  0.6460  0.9383  1 Be 2.42, 9 Cu 2.48-2.64
Cu  0.2923  0.0000  0.9383  1 Be 2.42, 9 Cu 2.48-2.64
Cu  0.2077  0.6460  0.2077  1 Be 2.42, 9 Cu 2.48-2.64
Cu  0.5617  0.3540  0.5617  1 Be 2.42, 9 Cu 2.48-2.64
Cu  0.9383  0.6460  0.7077  1 Be 2.42, 9 Cu 2.48-2.64
Cu  0.4383  0.6460  0.4383  1 Be 2.42, 9 Cu 2.48-2.64
Cu  0.7077  0.0000  0.0617  1 Be 2.42, 9 Cu 2.48-2.64
Cu  0.5617  0.7695  0.2077  1 Be 2.42, 9 Cu 2.48-2.64
Cu  0.4383  0.0000  0.2077  1 Be 2.42, 9 Cu 2.48-2.64
Cu  0.4383  0.2305  0.7923  1 Be 2.42, 9 Cu 2.48-2.64
Cu  0.9383  0.2305  0.9383  1 Be 2.42, 9 Cu 2.48-2.64
Be  0.0000  0.0000  0.0000  12 Cu 2.42
Be  0.5000  0.0000  0.5000  12 Cu 2.42
La  0.2500  0.5000  0.7500  24 Cu 3.36
La  0.7500  0.5000  0.2500  24 Cu 3.36

Symmetry: Fm-3c, No. 226
Uncorrected energy in eV per atom: -3.90
Size of the total moment in Bohr magnetons per cell: 0.00

=====

No. 7
A plane-wave DFT calculation with GGA-PBE was carried out for an optimized crystal structure of Li2BeCu.

a = 3.9635 Å, b = 3.9635 Å, c = 3.9635 Å
α = 60.00°, β = 60.00°, γ = 60.00°
With the nearest neighbours (Å) after each atom.
Fractional coordinates of all 4 atoms:
Li  0.0000  0.0000  0.0000  4 Cu 2.43, 4 Li 2.43
Li  0.7500  0.7500  0.7500  4 Be 2.43, 4 Li 2.43
Cu  0.2500  0.2500  0.2500  4 Li 2.43, 4 Be 2.43
Be  0.5000  0.5000  0.5000  4 Li 2.43, 4 Cu 2.43

Symmetry: F-43m, No. 216
Uncorrected energy in eV per atom: -2.73

=====

No. 8
A plane-wave DFT calculation with GGA-PBE was carried out for an optimized crystal structure of LiBeCu2.

a = 5.5596 Å, b = 5.5596 Å, c = 5.5596 Å
α = 90.00°, β = 90.00°, γ = 90.00°
With the nearest neighbours (Å) after each atom.
Fractional coordinates of all 16 atoms:
Li  0.5000  0.5000  0.0000  8 Cu 2.45
Li  0.5000  0.0000  0.5000  8 Cu 2.45
Li  0.5000  0.5000  0.5000  8 Cu 2.53, 6 Li 2.78
Li  0.0000  0.5000  0.5000  8 Cu 2.45
Cu  0.7631  0.7631  0.7631  4 Be 2.28-2.37, 4 Li 2.45-2.53
Cu  0.2369  0.2369  0.7631  4 Be 2.28-2.37, 4 Li 2.45-2.53
Cu  0.7631  0.2369  0.7631  4 Be 2.28-2.37, 4 Li 2.45-2.53
Cu  0.7631  0.2369  0.2369  4 Be 2.28-2.37, 4 Li 2.45-2.53
Cu  0.2369  0.7631  0.2369  4 Be 2.28-2.37, 4 Li 2.45-2.53
Cu  0.2369  0.2369  0.2369  4 Be 2.28-2.37, 4 Li 2.45-2.53
Cu  0.7631  0.7631  0.2369  4 Be 2.28-2.37, 4 Li 2.45-2.53
Cu  0.2369  0.7631  0.7631  4 Be 2.28-2.37, 4 Li 2.45-2.53
Be  0.5000  0.0000  0.0000  8 Cu 2.37
Be  0.0000  0.5000  0.0000  8 Cu 2.37
Be  0.0000  0.0000  0.5000  8 Cu 2.37
Be  0.0000  0.0000  0.0000  8 Cu 2.28

Symmetry: Pm-3m, No. 221
Uncorrected energy in eV per atom: -3.29

=====

No. 9
A plane-wave DFT calculation with GGA-PBE was carried out for an optimized crystal structure of LiMg2BeCu4.

a = 4.1906 Å, b = 4.1906 Å, c = 5.9160 Å
α = 90.00°, β = 90.00°, γ = 90.00°
With the nearest neighbours (Å) after each atom.
Fractional coordinates of all 8 atoms:
Mg  0.0000  0.0000  0.0000  8 Cu 2.51
Mg  0.5000  0.5000  0.5000  8 Cu 2.62
Cu  0.5000  0.0000  0.7655  2 Be 2.51, 4 Mg 2.51-2.62, 2 Li 2.62, 1 Cu 2.78
Cu  0.0000  0.5000  0.7655  2 Be 2.51, 4 Mg 2.51-2.62, 2 Li 2.62, 1 Cu 2.78
Cu  0.0000  0.5000  0.2345  2 Be 2.51, 4 Mg 2.51-2.62, 2 Li 2.62, 1 Cu 2.78
Cu  0.5000  0.0000  0.2345  2 Be 2.51, 4 Mg 2.51-2.62, 2 Li 2.62, 1 Cu 2.78
Li  0.0000  0.0000  0.5000  8 Cu 2.62
Be  0.5000  0.5000  0.0000  8 Cu 2.51

Symmetry: P4/mmm, No. 123
Uncorrected energy in eV per atom: -2.95

=====

No. 10
A plane-wave DFT calculation with GGA-PBE was carried out for an optimized crystal structure of LiBeCuPb.

a = 4.4138 Å, b = 4.4138 Å, c = 4.4138 Å
α = 60.00°, β = 60.00°, γ = 60.00°
With the nearest neighbours (Å) after each atom.
Fractional coordinates of all 4 atoms:
Cu  0.0000  0.0000  0.0000  4 Be 2.70, 4 Pb 2.70
Be  0.7500  0.7500  0.7500  4 Li 2.70, 4 Cu 2.70
Pb  0.2500  0.2500  0.2500  4 Li 2.70, 4 Cu 2.70
Li  0.5000  0.5000  0.5000  4 Be 2.70, 4 Pb 2.70

Symmetry: F-43m, No. 216
Uncorrected energy in eV per atom: -3.02

=====

No. 11
A plane-wave DFT calculation with GGA-PBE was carried out for an optimized crystal structure of LiBeCuPb.

a = 4.3764 Å, b = 4.3764 Å, c = 4.3764 Å
α = 60.00°, β = 60.00°, γ = 60.00°
With the nearest neighbours (Å) after each atom.
Fractional coordinates of all 4 atoms:
Li  0.5000  0.5000  0.5000  4 Pb 2.68, 4 Cu 2.68
Pb  0.2500  0.2500  0.2500  4 Li 2.68, 4 Be 2.68
Be  0.0000  0.0000  0.0000  4 Cu 2.68, 4 Pb 2.68
Cu  0.7500  0.7500  0.7500  4 Be 2.68, 4 Li 2.68

Symmetry: F-43m, No. 216
Uncorrected energy in eV per atom: -3.07

=====

No. 12
A plane-wave DFT calculation with GGA-PBE was carried out for an optimized crystal structure of LiBeCuSi.

a = 3.9763 Å, b = 3.9763 Å, c = 3.9763 Å
α = 60.00°, β = 60.00°, γ = 60.00°
With the nearest neighbours (Å) after each atom.
Fractional coordinates of all 4 atoms:
Cu  0.0000  0.0000  0.0000  4 Li 2.43-2.44, 4 Si 2.43-2.44
Li  0.7500  0.7500  0.7500  4 Cu 2.43-2.44, 4 Be 2.43
Si  0.2500  0.2500  0.2500  4 Cu 2.43-2.44, 4 Be 2.43
Be  0.5000  0.5000  0.5000  4 Li 2.43, 4 Si 2.43

Symmetry: F-43m, No. 216
Uncorrected energy in eV per atom: -3.75

=====

No. 13
A plane-wave DFT calculation with GGA-PBE was carried out for an optimized crystal structure of LiBeCuSi.

a = 3.9714 Å, b = 3.9714 Å, c = 3.9714 Å
α = 60.00°, β = 60.00°, γ = 60.00°
With the nearest neighbours (Å) after each atom.
Fractional coordinates of all 4 atoms:
Be  0.5000  0.5000  0.5000  4 Li 2.43, 4 Cu 2.43
Cu  0.2500  0.2500  0.2500  4 Be 2.43, 4 Si 2.43
Li  0.7500  0.7500  0.7500  4 Si 2.43, 4 Be 2.43
Si  0.0000  0.0000  0.0000  4 Li 2.43, 4 Cu 2.43

Symmetry: F-43m, No. 216
Uncorrected energy in eV per atom: -3.71